{
  "formula": "KNaNiI4",
  "functional": "GGA-PBE",
  "state": "relaxed",
  "sg": "P2_1/m, No. 11",
  "m_tot_mub_per_cell": 4.00,
  "e_form_raw_ev_per_atom": -0.750,
  "lattice_angstrom": [[-2.970, -1.912, 6.391], [1.139, -7.785, -1.799], [9.554, 1.104, 1.272]],
  "species": ["K", "K", "I", "I", "I", "I", "I", "I", "I", "I", "Ni", "Ni", "Na", "Na"],
  "frac_coords": [[0.221, 0.250, 0.054], [0.779, 0.750, 0.946], [0.393, 0.750, 0.116], [0.002, 0.995, 0.273], [0.424, 0.750, 0.590], [0.576, 0.250, 0.410], [0.998, 0.495, 0.727], [0.607, 0.250, 0.884], [0.998, 0.005, 0.727], [0.002, 0.505, 0.273], [0.241, 0.750, 0.320], [0.759, 0.250, 0.680], [0.768, 0.750, 0.443], [0.232, 0.250, 0.557]]
}